# 1
This record from Alexandria describes an optimized crystal structure of PmNd2Ho. The functional is GGA-PBE.

Values from the calculation:
total moment	0.00	μB per cell
formation enthalpy at 0 K	108.5	meV per atom
ρ	7.3	g/cm3
distance to the lowest polymorph of the same formula	95	meV per atom

Lattice parameters (Å, degrees): 4.2545 4.2545 7.5244 90.00 90.00 90.00
Closest atoms and distances in Å follow each position.
Space group P4/mmm (No. 123)
Inequivalent atoms, fractional coordinates:
Pm 0.0000 0.0000 0.0000  8 Nd 3.58, 2 Ho 3.76
Nd 0.5000 0.5000 0.2575  4 Ho 3.52, 4 Pm 3.58, 2 Nd 3.65-3.88
Ho 0.0000 0.0000 0.5000  8 Nd 3.52, 2 Pm 3.76

=====

# 2
This record from Alexandria describes an optimized crystal structure of KPmSe4. The functional is GGA-PBE.

Values from the calculation:
total moment	0.00	μB per cell
uncorrected formation energy	-7.04	eV per formula unit
ρ	4.8	g/cm3

Lattice parameters (Å, degrees): 6.3602 6.3602 8.4694 90.00 90.00 90.00
Closest atoms and distances in Å follow each position.
Space group P4/nbm (No. 125, origin choice 2)
Inequivalent atoms, fractional coordinates:
K 0.2500 0.2500 0.0000  8 Se 3.48
Pm 0.2500 0.2500 0.5000  8 Se 3.05
Se 0.1148 0.6148 0.2887  1 Se 2.43

=====

# 3
This record from Alexandria describes an optimized crystal structure of Cu5PdPt. The functional is GGA-PBE.

Values from the calculation:
total moment	0.00	μB per cell
formation enthalpy at 0 K	68.2	meV per atom
ρ	10.3	g/cm3
distance to the lowest polymorph of the same formula	93	meV per atom

Lattice parameters (Å, degrees): 3.7341 3.7341 7.1615 90.00 90.00 90.00
Closest atoms and distances in Å follow each position.
Space group P4/mmm (No. 123)
Inequivalent atoms, fractional coordinates:
Cu 0.0000 0.0000 0.0000  8 Cu 2.62, 4 Pt 2.64
Cu 0.0000 0.5000 0.2564  2 Pd 2.56, 2 Pt 2.62, 6 Cu 2.62-2.64
Pd 0.0000 0.0000 0.5000  8 Cu 2.56
Pt 0.5000 0.5000 0.0000  12 Cu 2.62-2.64

=====

# 4
This record from Alexandria describes an optimized crystal structure of AlAs2Ir. The functional is GGA-PBE.

Values from the calculation:
total moment	0.00	μB per cell
formation enthalpy at 0 K	-133.5	meV per atom
ρ	7.8	g/cm3

Lattice parameters (Å, degrees): 2.9625 3.9782 6.6838 90.00 90.13 90.00
Closest atoms and distances in Å follow each position.
Space group Pm (No. 6)
Inequivalent atoms, fractional coordinates:
Al 0.0000 0.0000 0.0000  4 As 2.55-2.79, 4 Ir 2.55
As 0.5019 0.0000 0.3544  2 Ir 2.66, 2 Al 2.79, 2 As 2.96
As 0.9984 0.5000 0.7612  2 Al 2.55, 2 Ir 2.66
Ir 0.5005 0.5000 0.0911  4 Al 2.55, 4 As 2.66

=====

# 5
This record from Alexandria describes an optimized crystal structure of CdAsAu2. The functional is GGA-PBE.

Values from the calculation:
total moment	0.00	μB per cell
formation enthalpy at 0 K	93.9	meV per atom
ρ	12.4	g/cm3
distance to the lowest polymorph of the same formula	86	meV per atom

Lattice parameters (Å, degrees): 3.1149 3.1149 8.0197 90.00 90.00 90.00
Closest atoms and distances in Å follow each position.
Space group P4mm (No. 99)
Inequivalent atoms, fractional coordinates:
Cd 0.0000 0.0000 0.0000  4 Au 2.93, 4 Cd 3.11, 4 As 3.15
As 0.5000 0.5000 0.2803  4 Au 2.87, 4 As 3.11, 4 Cd 3.15
Au 0.0000 0.0000 0.5105  4 As 2.87, 8 Au 2.97-3.11
Au 0.5000 0.5000 0.7584  4 Cd 2.93, 8 Au 2.97-3.11

=====

# 6
This record from Alexandria describes an optimized crystal structure of SrCrMo2. The functional is GGA-PBE.

Values from the calculation:
total moment	0.00	μB per cell
formation enthalpy at 0 K	791.8	meV per atom
ρ	6.3	g/cm3
distance to the lowest polymorph of the same formula	126	meV per atom

Lattice parameters (Å, degrees): 9.3808 3.2128 6.0196 90.00 103.88 90.00
Closest atoms and distances in Å follow each position.
Space group Cm (No. 8)
Inequivalent atoms, fractional coordinates:
Sr 0.0000 0.0000 0.0000  2 Sr 3.21, 7 Mo 3.36-3.50, 3 Cr 3.38-3.44
Cr 0.2175 0.0000 0.6257  4 Mo 2.38-2.47
Mo 0.0132 0.5000 0.5145  2 Cr 2.47, 2 Mo 2.61
Mo 0.2898 0.5000 0.3822  2 Cr 2.38, 2 Mo 2.61

=====

# 7
This record from Alexandria describes an optimized crystal structure of ThGaPtAu. The functional is GGA-PBE.

Values from the calculation:
total moment	0.00	μB per cell
formation enthalpy at 0 K	-730.0	meV per atom
ρ	13.5	g/cm3

Lattice parameters (Å, degrees): 6.9831 6.9831 6.9831 90.00 90.00 90.00
Closest atoms and distances in Å follow each position.
Space group F-43m (No. 216)
Inequivalent atoms, fractional coordinates:
Th 0.0000 0.0000 0.0000  4 Pt 3.02, 4 Au 3.02
Ga 0.0000 0.0000 0.5000  4 Pt 3.02, 4 Au 3.02
Pt 0.2500 0.2500 0.7500  4 Th 3.02, 4 Ga 3.02
Au 0.2500 0.2500 0.2500  4 Th 3.02, 4 Ga 3.02

=====

# 8
This record from Alexandria describes an optimized crystal structure of LiCrCu2. The functional is GGA-PBE.

Values from the calculation:
total moment	16.62	μB per cell
formation enthalpy at 0 K	261.2	meV per atom
ρ	5.9	g/cm3
distance to the lowest polymorph of the same formula	86	meV per atom

Lattice parameters (Å, degrees): 5.9521 5.9521 5.9521 90.00 90.00 90.00
Closest atoms and distances in Å follow each position.
Space group F-43m (No. 216)
Inequivalent atoms, fractional coordinates:
Li 0.0000 0.0000 0.0000  4 Cr 2.58, 4 Cu 2.58
Cr 0.2500 0.2500 0.2500  4 Li 2.58, 4 Cu 2.58
Cu 0.0000 0.0000 0.5000  4 Cr 2.58, 4 Cu 2.58
Cu 0.2500 0.2500 0.7500  4 Li 2.58, 4 Cu 2.58

=====

# 9
This record from Alexandria describes an optimized crystal structure of MgZr2BiSb. The functional is GGA-PBE.

Values from the calculation:
total moment	0.00	μB per cell
uncorrected formation energy	4.27	eV per formula unit
ρ	6.3	g/cm3

Lattice parameters (Å, degrees): 5.3017 5.3017 5.0285 90.00 90.00 90.00
Closest atoms and distances in Å follow each position.
Space group P4/mmm (No. 123)
Inequivalent atoms, fractional coordinates:
Mg 0.0000 0.0000 0.0000  2 Bi 2.51, 4 Zr 2.65
Zr 0.0000 0.5000 0.0000  2 Mg 2.65
Bi 0.0000 0.0000 0.5000  2 Mg 2.51
Sb 0.5000 0.5000 0.5000  8 Zr 3.65, 4 Bi 3.75

=====

# 10
This record from Alexandria describes an optimized crystal structure of ZrMnCl. The functional is GGA-PBE.

Values from the calculation:
total moment	0.00	μB per cell
uncorrected formation energy	-2.62	eV per formula unit
ρ	4.8	g/cm3

Lattice parameters (Å, degrees): 6.3262 3.6523 11.0585 90.00 101.38 90.00
Closest atoms and distances in Å follow each position.
Space group C2/m (No. 12)
Inequivalent atoms, fractional coordinates:
Zr 0.0603 0.0000 0.1749  3 Mn 2.68, 3 Cl 2.73
Mn 0.1587 0.5000 0.9771  3 Mn 2.17
Cl 0.2175 0.0000 0.6645  3 Zr 2.73

=====

# 11
This record from Alexandria describes an optimized crystal structure of Tb2Er4Sc3. The functional is GGA-PBE.

Values from the calculation:
total moment	0.00	μB per cell
formation enthalpy at 0 K	110.1	meV per atom
ρ	7.2	g/cm3
distance to the lowest polymorph of the same formula	47	meV per atom

Lattice parameters (Å, degrees): 15.4030 11.2245 6.0065 90.00 94.91 90.00
Closest atoms and distances in Å follow each position.
Space group C2/c (No. 15)
Inequivalent atoms, fractional coordinates:
Tb 0.1185 0.1433 0.3240  4 Er 3.20-3.52, 4 Sc 3.29-3.35
Er 0.0487 0.3588 0.0096  1 Tb 3.20, 4 Sc 3.25-3.36, 3 Er 3.34-3.50
Er 0.2154 0.1411 0.8433  1 Er 3.21, 4 Sc 3.25-3.37, 3 Tb 3.34-3.52
Sc 0.0000 0.0993 0.7500  4 Tb 3.29-3.30, 4 Er 3.35-3.36
Sc 0.1662 0.4017 0.5851  6 Er 3.25-3.37, 2 Tb 3.35

=====

# 12
This record from Alexandria describes an optimized crystal structure of Rh2W. The functional is GGA-PBE.

Values from the calculation:
total moment	0.00	μB per cell
formation enthalpy at 0 K	-150.0	meV per atom
ρ	14.6	g/cm3

Lattice parameters (Å, degrees): 10.1455 2.7534 6.5504 90.00 104.60 90.00
Closest atoms and distances in Å follow each position.
Space group C2/m (No. 12)
Inequivalent atoms, fractional coordinates:
Rh 0.0288 0.0000 0.3090  5 W 2.71-2.78, 7 Rh 2.71-2.83
Rh 0.1411 0.5000 0.0361  3 W 2.71-2.73, 9 Rh 2.72-2.83
W 0.1916 0.5000 0.6452  8 Rh 2.71-2.78, 4 W 2.75-2.84

=====

Number 2 is which compound? KPmSe4